Below is crystalline Na2TeAsS4 at its relaxed geometry, with properties calculated at the GGA-PBE level.

The structure belongs to space group C2/c (No. 15); the cell edges are 10.9888, 10.9435 and 7.7195 Å and the angles 90.00°, 128.93° and 90.00°. The asymmetric unit holds Na at (0.0000, 0.0000, 0.0000), Na at (0.2500, 0.2500, 0.0000), Te at (0.2500, 0.2500, 0.5000), As at (0.0000, 0.5000, 0.0000), S at (0.0222, 0.2618, 0.5223) and S at (0.2128, 0.4929, 0.4403).

The value obtained for the uncorrected formation energy is -322 kJ/mol of formula units. Its density of states at the Fermi level is 4.26 states/eV/cell. As for the total magnetization: 0.00 μB/cell.